(1)
# Cd3Ga12Au5

Cd3Ga12Au5 after structural relaxation (GGA-PBE, the Alexandria database).

Computed properties:
**Energy relative to the elements**: 0.04 eV/atom
**Volume**: 1868.2 Å³ per cell
**DFT total energy**: -218.5 eV/cell

The structure in CIF format:
```
data_Cd3Ga12Au5
_chemical_formula_sum 'Cd12 Ga48 Au20'
_space_group_name_H-M_alt 'P 1'
_space_group_IT_number 1
_cell_length_a 13.4385
_cell_length_b 13.4385
_cell_length_c 13.4385
_cell_angle_alpha 109.47
_cell_angle_beta 109.47
_cell_angle_gamma 109.47
loop_
_space_group_symop_operation_xyz
'x,y,z'
loop_
_atom_site_label
_atom_site_fract_x
_atom_site_fract_y
_atom_site_fract_z
_atom_site_occupancy
Cd1 0.7500 0.3750 0.1250 1
Cd2 0.8750 0.7500 0.1250 1
Cd3 0.3750 0.7500 0.6250 1
Cd4 0.2500 0.1250 0.3750 1
Cd5 0.8750 0.1250 0.2500 1
Cd6 0.3750 0.6250 0.2500 1
Cd7 0.6250 0.3750 0.7500 1
Cd8 0.1250 0.8750 0.7500 1
Cd9 0.7500 0.8750 0.6250 1
Cd10 0.6250 0.2500 0.3750 1
Cd11 0.1250 0.2500 0.8750 1
Cd12 0.2500 0.6250 0.8750 1
Au1 0.1250 0.3750 0.2500 1
Au2 0.0000 0.5000 0.0000 1
Au3 0.0000 0.0000 0.0000 1
Au4 0.3750 0.2500 0.1250 1
Au5 0.5000 0.0000 0.5000 1
Au6 0.5000 0.5000 0.0000 1
Au7 0.1250 0.7500 0.3750 1
Au8 0.7500 0.1250 0.8750 1
Au9 0.7500 0.6250 0.3750 1
Au10 0.3750 0.1250 0.7500 1
Au11 0.6250 0.8750 0.2500 1
Au12 0.5000 0.5000 0.5000 1
Au13 0.5000 0.0000 0.0000 1
Au14 0.0000 0.0000 0.5000 1
Au15 0.2500 0.3750 0.6250 1
Au16 0.2500 0.8750 0.1250 1
Au17 0.0000 0.5000 0.5000 1
Au18 0.8750 0.2500 0.6250 1
Au19 0.6250 0.7500 0.8750 1
Au20 0.8750 0.6250 0.7500 1
Ga1 0.7263 0.1356 0.0583 1
Ga2 0.3321 0.5583 0.4227 1
Ga3 0.9417 0.3644 0.2737 1
Ga4 0.5583 0.2263 0.1356 1
Ga5 0.5907 0.7263 0.6679 1
Ga6 0.9417 0.5773 0.1679 1
Ga7 0.3321 0.7737 0.4093 1
Ga8 0.0773 0.9093 0.1356 1
Ga9 0.5773 0.9417 0.6679 1
Ga10 0.7263 0.5907 0.1679 1
Ga11 0.7737 0.4417 0.3644 1
Ga12 0.8321 0.9227 0.0583 1
Ga13 0.1356 0.7263 0.5583 1
Ga14 0.3644 0.4227 0.0907 1
Ga15 0.0907 0.9227 0.3644 1
Ga16 0.4093 0.1356 0.5773 1
Ga17 0.0907 0.1679 0.2263 1
Ga18 0.4417 0.6679 0.0773 1
Ga19 0.8321 0.9093 0.2737 1
Ga20 0.1356 0.4093 0.0773 1
Ga21 0.3644 0.9417 0.7737 1
Ga22 0.5773 0.6356 0.4093 1
Ga23 0.9227 0.8321 0.5583 1
Ga24 0.7737 0.3321 0.9093 1
Ga25 0.4227 0.3644 0.5907 1
Ga26 0.0773 0.1679 0.4417 1
Ga27 0.2263 0.6679 0.0907 1
Ga28 0.1679 0.0907 0.7263 1
Ga29 0.6356 0.0583 0.2263 1
Ga30 0.8644 0.5907 0.9227 1
Ga31 0.5583 0.3321 0.9227 1
Ga32 0.5907 0.8644 0.4227 1
Ga33 0.9093 0.8321 0.7737 1
Ga34 0.9093 0.0773 0.6356 1
Ga35 0.8644 0.2737 0.4417 1
Ga36 0.1679 0.0773 0.9417 1
Ga37 0.6356 0.5773 0.9093 1
Ga38 0.4227 0.0583 0.3321 1
Ga39 0.2737 0.4093 0.8321 1
Ga40 0.2263 0.5583 0.6356 1
Ga41 0.9227 0.0907 0.8644 1
Ga42 0.6679 0.2263 0.5907 1
Ga43 0.4417 0.7737 0.8644 1
Ga44 0.0583 0.4227 0.8321 1
Ga45 0.4093 0.2737 0.3321 1
Ga46 0.0583 0.6356 0.7263 1
Ga47 0.6679 0.4417 0.5773 1
Ga48 0.2737 0.8644 0.9417 1
```



(2)
# Cd8Ga2Au

Cd8Ga2Au after structural relaxation (GGA-PBE, the Alexandria database).

Computed properties:
**Energy relative to the elements**: 0.00 eV/atom
**Volume**: 249.9 Å³ per cell
**DFT total energy**: -16.7 eV/cell

The structure in CIF format:
```
data_Cd8Ga2Au
_chemical_formula_sum 'Cd8 Ga2 Au1'
_space_group_name_H-M_alt 'P 1'
_space_group_IT_number 1
_cell_length_a 4.6926
_cell_length_b 5.9601
_cell_length_c 9.7236
_cell_angle_alpha 108.19
_cell_angle_beta 103.96
_cell_angle_gamma 90.00
loop_
_space_group_symop_operation_xyz
'x,y,z'
loop_
_atom_site_label
_atom_site_fract_x
_atom_site_fract_y
_atom_site_fract_z
_atom_site_occupancy
Cd1 0.3972 0.5409 0.7944 1
Cd2 0.6486 0.9903 0.2971 1
Cd3 0.7861 0.6962 0.5722 1
Cd4 0.9754 0.2378 0.9508 1
Cd5 0.2139 0.3038 0.4278 1
Cd6 0.3514 0.0097 0.7029 1
Cd7 0.6028 0.4591 0.2056 1
Cd8 0.0246 0.7622 0.0492 1
Ga1 0.8107 0.2399 0.6214 1
Ga2 0.1893 0.7601 0.3786 1
Au1 0.5000 0.0000 0.0000 1
```



(3)
# CdGaAu3

CdGaAu3 after structural relaxation (GGA-PBE, the Alexandria database).

Computed properties:
**Energy relative to the elements**: -0.15 eV/atom
**Volume**: 378.5 Å³ per cell
**Polymorph energy (0 for the lowest one)**: 0.0 meV/atom
**DFT total energy**: -58.1 eV/cell

The structure in CIF format:
```
data_CdGaAu3
_chemical_formula_sum 'Cd4 Ga4 Au12'
_space_group_name_H-M_alt 'P 1'
_space_group_IT_number 1
_cell_length_a 5.2060
_cell_length_b 7.9150
_cell_length_c 9.8251
_cell_angle_alpha 110.77
_cell_angle_beta 90.00
_cell_angle_gamma 90.00
loop_
_space_group_symop_operation_xyz
'x,y,z'
loop_
_atom_site_label
_atom_site_fract_x
_atom_site_fract_y
_atom_site_fract_z
_atom_site_occupancy
Cd1 0.7668 0.5349 0.4081 1
Cd2 0.2332 0.4651 0.5919 1
Cd3 0.2668 0.9651 0.0919 1
Cd4 0.7332 0.0349 0.9081 1
Ga1 0.1366 0.5938 0.1633 1
Ga2 0.8634 0.4062 0.8367 1
Ga3 0.6366 0.9062 0.3367 1
Ga4 0.3634 0.0938 0.6633 1
Au1 0.2658 0.3430 0.2721 1
Au2 0.7342 0.6570 0.7279 1
Au3 0.7658 0.1570 0.2279 1
Au4 0.2342 0.8430 0.7721 1
Au5 0.2838 0.7338 0.4376 1
Au6 0.7162 0.2662 0.5624 1
Au7 0.7838 0.7662 0.0624 1
Au8 0.2162 0.2338 0.9376 1
Au9 0.8289 0.9187 0.5895 1
Au10 0.1711 0.0813 0.4105 1
Au11 0.3289 0.5813 0.9105 1
Au12 0.6711 0.4187 0.0895 1
```



(4)
# Cd5Ga2Au12

Cd5Ga2Au12 after structural relaxation (GGA-PBE, the Alexandria database).

Computed properties:
**Energy relative to the elements**: -0.15 eV/atom
**Volume**: 364.2 Å³ per cell
**Polymorph energy (0 for the lowest one)**: 0.0 meV/atom
**DFT total energy**: -52.9 eV/cell

The structure in CIF format:
```
data_Cd5Ga2Au12
_chemical_formula_sum 'Cd5 Ga2 Au12'
_space_group_name_H-M_alt 'P 1'
_space_group_IT_number 1
_cell_length_a 6.6724
_cell_length_b 7.8326
_cell_length_c 7.9930
_cell_angle_alpha 60.66
_cell_angle_beta 89.98
_cell_angle_gamma 90.00
loop_
_space_group_symop_operation_xyz
'x,y,z'
loop_
_atom_site_label
_atom_site_fract_x
_atom_site_fract_y
_atom_site_fract_z
_atom_site_occupancy
Cd1 0.5778 0.7588 0.4824 1
Cd2 0.0212 0.6988 0.6023 1
Cd3 0.5000 0.0000 0.0000 1
Cd4 0.9788 0.3012 0.3977 1
Cd5 0.4222 0.2412 0.5176 1
Ga1 0.0000 0.7188 0.0000 1
Ga2 0.0000 0.2812 0.0000 1
Au1 0.1090 0.0953 0.8093 1
Au2 0.7586 0.3491 0.6796 1
Au3 0.7586 0.9713 0.6796 1
Au4 0.3495 0.4163 0.7686 1
Au5 0.3495 0.8152 0.7686 1
Au6 0.7116 0.5538 0.8924 1
Au7 0.2884 0.4462 0.1076 1
Au8 0.6505 0.5837 0.2314 1
Au9 0.6505 0.1848 0.2314 1
Au10 0.2414 0.6509 0.3204 1
Au11 0.2414 0.0287 0.3204 1
Au12 0.8910 0.9047 0.1907 1
```



(5)
# CdGa2Au2

CdGa2Au2 after structural relaxation (GGA-PBE, the Alexandria database).

Computed properties:
**Energy relative to the elements**: -0.14 eV/atom
**Volume**: 101.2 Å³ per cell
**Polymorph energy (0 for the lowest one)**: 0.0 meV/atom
**DFT total energy**: -14.2 eV/cell

The structure in CIF format:
```
data_CdGa2Au2
_chemical_formula_sum 'Cd1 Ga2 Au2'
_space_group_name_H-M_alt 'P 1'
_space_group_IT_number 1
_cell_length_a 4.1622
_cell_length_b 4.1622
_cell_length_c 6.3335
_cell_angle_alpha 74.62
_cell_angle_beta 74.62
_cell_angle_gamma 79.31
loop_
_space_group_symop_operation_xyz
'x,y,z'
loop_
_atom_site_label
_atom_site_fract_x
_atom_site_fract_y
_atom_site_fract_z
_atom_site_occupancy
Cd1 0.0000 0.0000 0.0000 1
Ga1 0.2541 0.7459 0.5000 1
Ga2 0.7459 0.2541 0.5000 1
Au1 0.6647 0.6647 0.7863 1
Au2 0.3353 0.3353 0.2137 1
```



(6)
# Cd2Ga2Au

Cd2Ga2Au after structural relaxation (GGA-PBE, the Alexandria database).

Computed properties:
**Energy relative to the elements**: -0.04 eV/atom
**Volume**: 205.1 Å³ per cell
**Polymorph energy (0 for the lowest one)**: 0.0 meV/atom
**DFT total energy**: -22.7 eV/cell

The structure in CIF format:
```
data_Cd2Ga2Au
_chemical_formula_sum 'Cd4 Ga4 Au2'
_space_group_name_H-M_alt 'P 1'
_space_group_IT_number 1
_cell_length_a 6.7950
_cell_length_b 6.7950
_cell_length_c 4.4416
_cell_angle_alpha 90.00
_cell_angle_beta 90.00
_cell_angle_gamma 90.00
loop_
_space_group_symop_operation_xyz
'x,y,z'
loop_
_atom_site_label
_atom_site_fract_x
_atom_site_fract_y
_atom_site_fract_z
_atom_site_occupancy
Au1 0.0000 0.0000 0.0000 1
Au2 0.5000 0.5000 0.0000 1
Ga1 0.3641 0.8641 0.0000 1
Ga2 0.8641 0.6359 0.0000 1
Ga3 0.6359 0.1359 0.0000 1
Ga4 0.1359 0.3641 0.0000 1
Cd1 0.1736 0.6736 0.5000 1
Cd2 0.6736 0.8264 0.5000 1
Cd3 0.8264 0.3264 0.5000 1
Cd4 0.3264 0.1736 0.5000 1
```



(7)
# CdGa2Au2

CdGa2Au2 after structural relaxation (GGA-PBE, the Alexandria database).

Computed properties:
**Energy relative to the elements**: -0.13 eV/atom
**Volume**: 98.5 Å³ per cell
**Polymorph energy (0 for the lowest one)**: 14.7 meV/atom
**DFT total energy**: -14.2 eV/cell

The structure in CIF format:
```
data_CdGa2Au2
_chemical_formula_sum 'Cd1 Ga2 Au2'
_space_group_name_H-M_alt 'P 1'
_space_group_IT_number 1
_cell_length_a 3.8951
_cell_length_b 3.8951
_cell_length_c 7.0517
_cell_angle_alpha 73.97
_cell_angle_beta 73.97
_cell_angle_gamma 90.00
loop_
_space_group_symop_operation_xyz
'x,y,z'
loop_
_atom_site_label
_atom_site_fract_x
_atom_site_fract_y
_atom_site_fract_z
_atom_site_occupancy
Au1 0.3934 0.3934 0.2132 1
Au2 0.6066 0.6066 0.7868 1
Ga1 0.7500 0.2500 0.5000 1
Ga2 0.2500 0.7500 0.5000 1
Cd1 0.0000 0.0000 0.0000 1
```



(8)
# CdGa2Au

CdGa2Au after structural relaxation (GGA-PBE, the Alexandria database).

Computed properties:
**Energy relative to the elements**: -0.02 eV/atom
**Volume**: 80.5 Å³ per cell
**DFT total energy**: -10.3 eV/cell

The structure in CIF format:
```
data_CdGa2Au
_chemical_formula_sum 'Cd1 Ga2 Au1'
_space_group_name_H-M_alt 'P 1'
_space_group_IT_number 1
_cell_length_a 3.4093
_cell_length_b 3.4093
_cell_length_c 6.9240
_cell_angle_alpha 90.00
_cell_angle_beta 90.00
_cell_angle_gamma 90.00
loop_
_space_group_symop_operation_xyz
'x,y,z'
loop_
_atom_site_label
_atom_site_fract_x
_atom_site_fract_y
_atom_site_fract_z
_atom_site_occupancy
Au1 0.5000 0.5000 0.0000 1
Ga1 0.0000 0.0000 0.7792 1
Ga2 0.0000 0.0000 0.2208 1
Cd1 0.5000 0.5000 0.5000 1
```



Question: The highest DFT total energy belongs to which entry?
Answer: CdGa2Au



Question: Look up the energy relative to the elements of the third one.
Answer: -0.15 eV/atom